(1)
RbAuBr3: PBEsol geometry, SCAN.

a = 7.377 Å, b = 7.377 Å, c = 7.859 Å
α = 115.65°, β = 115.65°, γ = 60.01°
Positions (direct):
Rb (0.233, 0.233, 0.227)
Rb (0.767, 0.767, 0.773)
Au (0.000, 0.000, 0.500)
Au (0.500, 0.500, 0.000)
Br (0.220, 0.220, 0.661)
Br (0.237, 0.712, 0.201)
Br (0.288, 0.763, 0.799)
Br (0.712, 0.237, 0.201)
Br (0.763, 0.288, 0.799)
Br (0.780, 0.780, 0.339)

(2)
Rb2AuBr: PBEsol geometry, SCAN.

density of states at the Fermi level: 0.0 states/eV/f.u.

a = 5.741 Å, b = 5.741 Å, c = 5.741 Å
α = 60.00°, β = 60.00°, γ = 60.00°
Positions (direct):
Rb (0.250, 0.250, 0.250)
Rb (0.750, 0.750, 0.750)
Au (0.000, 0.000, 0.000)
Br (0.500, 0.500, 0.500)

(3)
Rb3Au3Br8: PBEsol geometry, SCAN.

a = 7.226 Å, b = 7.226 Å, c = 18.571 Å
α = 98.56°, β = 98.56°, γ = 66.92°
Positions (direct):
Rb (0.014, 0.986, 0.750)
Rb (0.292, 0.349, 0.931)
Rb (0.349, 0.292, 0.431)
Rb (0.651, 0.708, 0.569)
Rb (0.708, 0.651, 0.069)
Rb (0.986, 0.014, 0.250)
Au (0.000, 0.000, 0.000)
Au (0.000, 0.000, 0.500)
Au (0.393, 0.398, 0.196)
Au (0.398, 0.393, 0.696)
Au (0.602, 0.607, 0.304)
Au (0.607, 0.602, 0.804)
Br (0.100, 0.493, 0.760)
Br (0.148, 0.709, 0.574)
Br (0.169, 0.209, 0.081)
Br (0.209, 0.169, 0.581)
Br (0.265, 0.678, 0.121)
Br (0.291, 0.852, 0.926)
Br (0.322, 0.735, 0.379)
Br (0.493, 0.100, 0.260)
Br (0.507, 0.900, 0.740)
Br (0.678, 0.265, 0.621)
Br (0.709, 0.148, 0.074)
Br (0.735, 0.322, 0.879)
Br (0.791, 0.831, 0.419)
Br (0.831, 0.791, 0.919)
Br (0.852, 0.291, 0.426)
Br (0.900, 0.507, 0.240)

Number 1: calculated volume 32.1 A^3/atom, VASP energy -30.603 eV per atom. Number 2: calculated volume 33.5 A^3/atom, VASP energy -33.665 eV per atom. Number 3: calculated volume 31.3 A^3/atom, VASP energy -31.366 eV per atom.